Entry 1:
A plane-wave DFT calculation with GGA-PBE was carried out for crystalline BiIr at its relaxed geometry.

Properties
Uncorrected energy = -6.21 eV per atom
Crystal system = orthorhombic
Space group = Cmcm

Cell lengths 5.707, 3.928, 4.015 Å; angles 90.00, 90.00, 110.13 degrees
Fractional coordinates of all 4 atoms:
Bi (0.702, 0.851, 0.250)
Bi (0.298, 0.149, 0.750)
Ir (0.167, 0.583, 0.250)
Ir (0.833, 0.417, 0.750)



Entry 2:
A plane-wave DFT calculation with GGA-PBE was carried out for crystalline LiSmPO at its relaxed geometry.

Properties
Uncorrected energy = -5.58 eV per atom
Crystal system = tetragonal
Space group = P4/nmm

Cell lengths 5.716, 5.716, 4.640 Å; angles 90.00, 90.00, 90.00 degrees
Fractional coordinates of all 8 atoms:
Li (0.000, 0.500, 0.007)
Li (0.500, 0.000, 0.993)
O (0.000, 0.000, 0.000)
O (0.500, 0.500, 0.000)
P (0.500, 0.000, 0.493)
P (0.000, 0.500, 0.507)
Sm (0.000, 0.000, 0.500)
Sm (0.500, 0.500, 0.500)



Entry 3:
A plane-wave DFT calculation with GGA-PBE was carried out for crystalline NaTbMgSe3 at its relaxed geometry.

Properties
Uncorrected energy = -4.45 eV per atom
Crystal system = orthorhombic
Space group = Cmcm

Cell lengths 7.211, 7.211, 11.227 Å; angles 90.00, 90.00, 146.47 degrees
Fractional coordinates of all 12 atoms:
Mg (0.471, 0.529, 0.250)
Mg (0.529, 0.471, 0.750)
Na (0.752, 0.248, 0.250)
Na (0.248, 0.752, 0.750)
Se (0.366, 0.634, 0.066)
Se (0.081, 0.919, 0.250)
Se (0.366, 0.634, 0.434)
Se (0.634, 0.366, 0.566)
Se (0.919, 0.081, 0.750)
Se (0.634, 0.366, 0.934)
Tb (0.000, 0.000, 0.000)
Tb (0.000, 0.000, 0.500)



Entry 4:
A plane-wave DFT calculation with GGA-PBE was carried out for crystalline SmErPd at its relaxed geometry.

Properties
Uncorrected energy = -5.28 eV per atom
Energy of formation = -44.2 kJ per mole of atoms
Crystal system = cubic
Space group = F-43m

Cell lengths 4.898, 4.898, 4.898 Å; angles 60.00, 60.00, 60.00 degrees
Fractional coordinates of all 3 atoms:
Er (0.250, 0.250, 0.250)
Pd (0.000, 0.000, 0.000)
Sm (0.750, 0.750, 0.750)



Entry 5:
A plane-wave DFT calculation with GGA-PBE was carried out for crystalline Dy2HoNi4Sn4 at its relaxed geometry.

Properties
Uncorrected energy = -5.29 eV per atom
Crystal system = orthorhombic
Space group = Immm

Cell lengths 8.218, 8.218, 8.218 Å; angles 149.09, 129.77, 60.15 degrees
Fractional coordinates of all 11 atoms:
Dy (0.631, 0.131, 0.500)
Dy (0.369, 0.869, 0.500)
Ho (0.000, 0.000, 0.000)
Ni (0.631, 0.323, 0.309)
Ni (0.986, 0.677, 0.309)
Ni (0.014, 0.323, 0.691)
Ni (0.369, 0.677, 0.691)
Sn (0.216, 0.216, 0.000)
Sn (0.784, 0.784, 0.000)
Sn (0.705, 0.500, 0.205)
Sn (0.295, 0.500, 0.795)



Entry 6:
A plane-wave DFT calculation with GGA-PBE was carried out for crystalline BaCdTeO at its relaxed geometry.

Properties
Uncorrected energy = -3.74 eV per atom
Crystal system = orthorhombic
Space group = Cmcm

Cell lengths 3.750, 6.462, 8.557 Å; angles 90.00, 77.34, 90.00 degrees
Fractional coordinates of all 8 atoms:
Ba (0.875, 0.250, 0.250)
Ba (0.125, 0.750, 0.750)
Cd (0.444, 0.750, 0.112)
Cd (0.556, 0.250, 0.888)
O (0.000, 0.000, 0.000)
O (0.000, 0.500, 0.000)
Te (0.805, 0.750, 0.389)
Te (0.195, 0.250, 0.611)



Entry 7:
A plane-wave DFT calculation with GGA-PBE was carried out for crystalline NaIrO4 at its relaxed geometry.

Properties
Uncorrected energy = -5.78 eV per atom
Crystal system = monoclinic
Space group = P2/m

Cell lengths 4.644, 3.092, 4.676 Å; angles 90.00, 90.30, 90.00 degrees
Fractional coordinates of all 6 atoms:
Ir (0.000, 0.500, 0.000)
Na (0.500, 0.000, 0.500)
O (0.247, 0.000, 0.090)
O (0.879, 0.500, 0.402)
O (0.121, 0.500, 0.598)
O (0.753, 0.000, 0.910)



Entry 8:
A plane-wave DFT calculation with GGA-PBE was carried out for crystalline TmTlAsSe3 at its relaxed geometry.

Properties
Uncorrected energy = -4.40 eV per atom
Crystal system = orthorhombic
Space group = Cmcm

Cell lengths 7.421, 7.421, 11.460 Å; angles 90.00, 90.00, 149.30 degrees
Fractional coordinates of all 12 atoms:
As (0.389, 0.611, 0.250)
As (0.611, 0.389, 0.750)
Se (0.362, 0.638, 0.021)
Se (0.028, 0.972, 0.250)
Se (0.362, 0.638, 0.479)
Se (0.638, 0.362, 0.521)
Se (0.972, 0.028, 0.750)
Se (0.638, 0.362, 0.979)
Tl (0.709, 0.291, 0.250)
Tl (0.291, 0.709, 0.750)
Tm (0.000, 0.000, 0.000)
Tm (0.000, 0.000, 0.500)



Entry 9:
A plane-wave DFT calculation with GGA-PBE was carried out for crystalline BeGaNiIr at its relaxed geometry.

Properties
Uncorrected energy = -5.46 eV per atom
Crystal system = cubic
Space group = F-43m

Cell lengths 4.092, 4.092, 4.092 Å; angles 60.00, 60.00, 60.00 degrees
Fractional coordinates of all 4 atoms:
Be (0.250, 0.250, 0.250)
Ga (0.000, 0.000, 0.000)
Ir (0.500, 0.500, 0.500)
Ni (0.750, 0.750, 0.750)



Entry 10:
A plane-wave DFT calculation with GGA-PBE was carried out for crystalline Lu2HgGe at its relaxed geometry.

Properties
Uncorrected energy = -3.43 eV per atom
Crystal system = cubic
Space group = F-43m

Cell lengths 5.154, 5.154, 5.154 Å; angles 60.00, 60.00, 60.00 degrees
Fractional coordinates of all 4 atoms:
Ge (0.500, 0.500, 0.500)
Hg (0.250, 0.250, 0.250)
Lu (0.000, 0.000, 0.000)
Lu (0.750, 0.750, 0.750)



Entry 11:
A plane-wave DFT calculation with GGA-PBE was carried out for crystalline Tm2Zn4Ni at its relaxed geometry.

Properties
Uncorrected energy = -3.03 eV per atom
Energy of formation = -22.4 kJ per mole of atoms
Crystal system = monoclinic
Space group = C2/m

Cell lengths 5.911, 5.911, 4.114 Å; angles 106.75, 106.75, 87.71 degrees
Fractional coordinates of all 7 atoms:
Ni (0.000, 0.000, 0.000)
Tm (0.722, 0.722, 0.435)
Tm (0.278, 0.278, 0.565)
Zn (0.655, 0.165, 0.176)
Zn (0.165, 0.655, 0.176)
Zn (0.835, 0.345, 0.824)
Zn (0.345, 0.835, 0.824)



Entry 12:
A plane-wave DFT calculation with GGA-PBE was carried out for crystalline ScFePd2 at its relaxed geometry.

Properties
Uncorrected energy = -6.60 eV per atom
Energy of formation = -34.1 kJ per mole of atoms
Crystal system = cubic
Space group = F-43m

Cell lengths 4.458, 4.458, 4.458 Å; angles 60.00, 60.00, 60.00 degrees
Fractional coordinates of all 4 atoms:
Fe (0.250, 0.250, 0.250)
Pd (0.500, 0.500, 0.500)
Pd (0.750, 0.750, 0.750)
Sc (0.000, 0.000, 0.000)



Entry 13:
A plane-wave DFT calculation with GGA-PBE was carried out for crystalline Zn2GePd at its relaxed geometry.

Properties
Uncorrected energy = -3.17 eV per atom
Crystal system = cubic
Space group = F-43m

Cell lengths 4.467, 4.467, 4.467 Å; angles 60.00, 60.00, 60.00 degrees
Fractional coordinates of all 4 atoms:
Ge (0.500, 0.500, 0.500)
Pd (0.250, 0.250, 0.250)
Zn (0.000, 0.000, 0.000)
Zn (0.750, 0.750, 0.750)



Entry 14:
A plane-wave DFT calculation with GGA-PBE was carried out for crystalline SbW4AuC2 at its relaxed geometry.

Properties
Uncorrected energy = -9.41 eV per atom
Crystal system = hexagonal
Space group = P-6m2

Cell lengths 3.171, 3.171, 13.452 Å; angles 90.00, 90.00, 120.00 degrees
Fractional coordinates of all 8 atoms:
Au (0.000, 0.000, 0.000)
C (0.333, 0.667, 0.249)
C (0.333, 0.667, 0.751)
Sb (0.667, 0.333, 0.500)
W (0.667, 0.333, 0.167)
W (0.000, 0.000, 0.331)
W (0.000, 0.000, 0.669)
W (0.667, 0.333, 0.833)



Entry 15:
A plane-wave DFT calculation with GGA-PBE was carried out for crystalline KGa3Tc at its relaxed geometry.

Properties
Uncorrected energy = -4.28 eV per atom
Crystal system = cubic
Space group = Pm-3m

Cell lengths 4.903, 4.903, 4.903 Å; angles 90.00, 90.00, 90.00 degrees
Fractional coordinates of all 5 atoms:
Ga (0.500, 0.500, 0.000)
Ga (0.500, 0.000, 0.500)
Ga (0.000, 0.500, 0.500)
K (0.000, 0.000, 0.000)
Tc (0.500, 0.500, 0.500)



Entry 16:
A plane-wave DFT calculation with GGA-PBE was carried out for crystalline TbBIr at its relaxed geometry.

Properties
Uncorrected energy = -6.78 eV per atom
Crystal system = cubic
Space group = F-43m

Cell lengths 4.140, 4.140, 4.140 Å; angles 60.00, 60.00, 60.00 degrees
Fractional coordinates of all 3 atoms:
B (0.000, 0.000, 0.000)
Ir (0.250, 0.250, 0.250)
Tb (0.750, 0.750, 0.750)



Entry 17:
A plane-wave DFT calculation with GGA-PBE was carried out for crystalline GdDyFeCo2 at its relaxed geometry.

Properties
Uncorrected energy = -6.51 eV per atom
Energy of formation = -14.9 kJ per mole of atoms
Crystal system = orthorhombic
Space group = Imm2

Cell lengths 5.373, 5.373, 5.373 Å; angles 137.16, 121.48, 75.20 degrees
Fractional coordinates of all 5 atoms:
Co (0.739, 0.500, 0.239)
Co (0.261, 0.500, 0.761)
Dy (0.700, 0.200, 0.500)
Fe (0.000, 0.000, 0.000)
Gd (0.300, 0.800, 0.500)



Entry 18:
A plane-wave DFT calculation with GGA-PBE was carried out for crystalline Gd2DyAl3Si2Ir at its relaxed geometry.

Properties
Uncorrected energy = -5.84 eV per atom
Crystal system = orthorhombic
Space group = Amm2

Cell lengths 4.235, 6.948, 6.948 Å; angles 119.93, 90.00, 90.00 degrees
Fractional coordinates of all 9 atoms:
Al (0.500, 0.232, 0.001)
Al (0.500, 0.001, 0.232)
Al (0.500, 0.767, 0.767)
Dy (0.000, 0.415, 0.415)
Gd (0.000, 0.999, 0.584)
Gd (0.000, 0.584, 0.999)
Ir (0.000, 0.002, 0.002)
Si (0.500, 0.665, 0.334)
Si (0.500, 0.334, 0.665)



Entry 19:
A plane-wave DFT calculation with GGA-PBE was carried out for crystalline Pa2Ga8Cu at its relaxed geometry.

Properties
Uncorrected energy = -4.58 eV per atom
Crystal system = tetragonal
Space group = P4/mmm

Cell lengths 4.316, 4.316, 11.160 Å; angles 90.00, 90.00, 90.00 degrees
Fractional coordinates of all 11 atoms:
Cu (0.000, 0.000, 0.000)
Ga (0.500, 0.000, 0.123)
Ga (0.000, 0.500, 0.123)
Ga (0.500, 0.500, 0.312)
Ga (0.500, 0.000, 0.500)
Ga (0.000, 0.500, 0.500)
Ga (0.500, 0.500, 0.688)
Ga (0.500, 0.000, 0.877)
Ga (0.000, 0.500, 0.877)
Pa (0.000, 0.000, 0.310)
Pa (0.000, 0.000, 0.690)



Entry 20:
A plane-wave DFT calculation with GGA-PBE was carried out for crystalline ErTm2Cu4Sn4 at its relaxed geometry.

Properties
Uncorrected energy = -4.52 eV per atom
Crystal system = orthorhombic
Space group = Immm

Cell lengths 8.374, 8.374, 8.374 Å; angles 149.43, 131.12, 58.76 degrees
Fractional coordinates of all 11 atoms:
Cu (0.639, 0.329, 0.310)
Cu (0.981, 0.671, 0.310)
Cu (0.019, 0.329, 0.690)
Cu (0.361, 0.671, 0.690)
Er (0.000, 0.000, 0.000)
Sn (0.216, 0.216, 0.000)
Sn (0.784, 0.784, 0.000)
Sn (0.703, 0.500, 0.203)
Sn (0.297, 0.500, 0.797)
Tm (0.630, 0.130, 0.500)
Tm (0.370, 0.870, 0.500)